# BaTaTe4

BaTaTe4 at its PBEsol-relaxed geometry (meta-GGA SCAN, Alexandria via LeMat-Bulk).

Its raw formation energy is 509 meV per atom.

abc: 6.3280 6.3280 6.3280
angles: 60.00 60.00 60.00
With the nearest neighbours (Å) after each atom.
Sites, in units of the cell vectors:
Te 0.3739 0.8782 0.3739  6 Te 3.14-3.19
Te 0.3739 0.3739 0.3739  6 Te 3.14-3.19
Te 0.8782 0.3739 0.3739  6 Te 3.14-3.19
Te 0.3739 0.3739 0.8782  6 Te 3.14-3.19
Ta 0.0000 0.0000 0.0000  12 Te 3.71, 4 Ba 3.88
Ba 0.7500 0.7500 0.7500  12 Te 3.71, 4 Ta 3.88



# InReAg2

InReAg2 at its PBEsol-relaxed geometry (meta-GGA SCAN, Alexandria via LeMat-Bulk).

The calculation puts the total energy at -41.054 eV per atom.

abc: 3.9856 3.9856 5.1128
angles: 112.94 112.94 90.00
With the nearest neighbours (Å) after each atom.
Sites, in units of the cell vectors:
In 0.5000 0.5000 0.0000  4 Re 2.82, 8 Ag 2.92
Ag 0.2500 0.7500 0.5000  4 Ag 2.82, 4 Re 2.92, 4 In 2.92
Ag 0.7500 0.2500 0.5000  4 Ag 2.82, 4 In 2.92, 4 Re 2.92
Re 0.0000 0.0000 0.0000  4 In 2.82, 8 Ag 2.92



# La2SiAg

La2SiAg at its PBEsol-relaxed geometry (meta-GGA SCAN, Alexandria via LeMat-Bulk).

Its raw formation energy is -449 meV per atom.

abc: 3.6321 5.2779 5.2779
angles: 90.00 90.00 90.00
With the nearest neighbours (Å) after each atom.
Sites, in units of the cell vectors:
La 0.0000 0.5000 0.0000  4 Ag 3.20, 4 Si 3.20
La 0.0000 0.0000 0.5000  4 Si 3.20, 4 Ag 3.20
Si 0.5000 0.0000 0.0000  8 La 3.20
Ag 0.5000 0.5000 0.5000  8 La 3.20